Entry 1:
Here is a relaxed structure of CrPO4 from the Alexandria database. Energies are from GGA+U.

a = 4.277 Å, b = 4.277 Å, c = 8.699 Å
α = 90.00°, β = 90.00°, γ = 90.00°
Element x y z (fractional)
1 Cr 0.000 0.000 0.000
2 Cr 0.000 0.000 0.500
3 P 0.000 0.500 0.250
4 P 0.500 0.000 0.750
5 O 0.198 0.285 0.357
6 O 0.198 0.715 0.143
7 O 0.285 0.198 0.857
8 O 0.285 0.802 0.643
9 O 0.715 0.198 0.643
10 O 0.715 0.802 0.857
11 O 0.802 0.285 0.143
12 O 0.802 0.715 0.357

The symmetry is No. 112. The value obtained for the total DFT energy (no corrections) is -0.536 Ry per atom. As for the magnetization: 0.50 μB per atom.

***

Entry 2:
Here is a relaxed structure of CrP2O7 from the Alexandria database. Energies are from GGA+U.

a = 5.139 Å, b = 5.139 Å, c = 4.548 Å
α = 98.21°, β = 98.21°, γ = 99.73°
Element x y z (fractional)
1 Cr 0.000 0.000 0.000
2 P 0.446 0.154 0.591
3 P 0.846 0.554 0.409
4 O 0.032 0.702 0.703
5 O 0.254 0.224 0.806
6 O 0.298 0.968 0.297
7 O 0.564 0.436 0.500
8 O 0.676 0.037 0.732
9 O 0.776 0.746 0.194
10 O 0.963 0.324 0.268

The symmetry is No. 5. Its energy above the most stable polymorph in this dataset is 40 meV/atom. As for the magnetization: 0.20 μB per atom.

***

Number 1: theoretical density 3.1 g/cm³. Number 2: theoretical density 3.3 g/cm³.